Below is a relaxed P2Pd8S crystal, with properties calculated at the PBE level.

Cell lengths 3.695, 6.517, 7.340 Å; angles 103.98, 104.58, 90.00 degrees
Sites, in units of the cell vectors:
S (0.500, 0.000, 0.000)
Pd (0.982, 0.234, 0.963)
Pd (0.328, 0.011, 0.656)
Pd (0.598, 0.527, 0.196)
Pd (0.672, 0.989, 0.344)
Pd (0.018, 0.766, 0.037)
Pd (0.402, 0.473, 0.804)
Pd (0.802, 0.669, 0.603)
Pd (0.198, 0.331, 0.397)
P (0.188, 0.710, 0.375)
P (0.812, 0.290, 0.625)

## Properties
DOS at the Fermi energy: 0.544 states/eV per atom
E above lowest polymorph: 0.04 eV/f.u.
Space group: No. 12
Formation energy (no corrections): -0.323 eV/atom


Below is a relaxed TlP2Pd5 crystal, with properties calculated at the PBE level.

Cell lengths 3.787, 6.820, 6.820 Å; angles 53.63, 73.88, 73.88 degrees
Sites, in units of the cell vectors:
Tl (0.000, 0.000, 0.000)
P (0.797, 0.703, 0.703)
P (0.203, 0.297, 0.297)
Pd (0.000, 0.500, 0.500)
Pd (0.350, 0.889, 0.411)
Pd (0.350, 0.411, 0.889)
Pd (0.650, 0.111, 0.589)
Pd (0.650, 0.589, 0.111)

## Properties
DOS at the Fermi energy: 0.508 states/eV per atom
Space group: No. 71
Formation enthalpy at 0 K: -0.391 eV/atom


Below is a relaxed LiEuZn4 crystal, with properties calculated at the PBE level.

Cell lengths 5.425, 5.425, 5.425 Å; angles 60.00, 60.00, 60.00 degrees
Sites, in units of the cell vectors:
Zn (0.626, 0.626, 0.626)
Zn (0.626, 0.626, 0.121)
Zn (0.626, 0.121, 0.626)
Zn (0.121, 0.626, 0.626)
Eu (0.250, 0.250, 0.250)
Li (0.000, 0.000, 0.000)

## Properties
DOS at the Fermi energy: 0.356 states/eV per atom
Space group: No. 216
Formation enthalpy at 0 K: -0.221 eV/atom


Below is a relaxed PaAlTl2S5 crystal, with properties calculated at the PBE level.

Cell lengths 4.006, 9.319, 14.190 Å; angles 90.00, 90.00, 102.41 degrees
Sites, in units of the cell vectors:
Tl (0.881, 0.763, 0.832)
Tl (0.119, 0.237, 0.332)
Tl (0.899, 0.797, 0.171)
Tl (0.101, 0.203, 0.671)
S (0.495, 0.990, 0.293)
S (0.693, 0.385, 0.901)
S (0.292, 0.584, 0.650)
S (0.307, 0.615, 0.401)
S (0.345, 0.689, 0.007)
S (0.056, 0.112, 0.015)
S (0.655, 0.311, 0.507)
S (0.505, 0.010, 0.793)
S (0.708, 0.416, 0.150)
S (0.944, 0.888, 0.515)
Pa (0.790, 0.580, 0.531)
Pa (0.210, 0.420, 0.031)
Al (0.567, 0.133, 0.924)
Al (0.433, 0.867, 0.424)

## Properties
Space group: No. 36
Formation energy (no corrections): -1.023 eV/atom


Below is a relaxed PrSm2Tl crystal, with properties calculated at the PBE level.

Cell lengths 3.747, 3.747, 11.170 Å; angles 80.34, 80.34, 60.00 degrees
Sites, in units of the cell vectors:
Sm (0.076, 0.076, 0.771)
Sm (0.257, 0.257, 0.228)
Tl (0.667, 0.667, 0.000)
Pr (0.500, 0.500, 0.501)

## Properties
DOS at the Fermi energy: 1.340 states/eV per atom
E above lowest polymorph: 0.38 eV/f.u.
Space group: No. 160
Formation enthalpy at 0 K: -0.103 eV/atom


Below is a relaxed TmScRu4 crystal, with properties calculated at the PBE level.

Cell lengths 5.247, 5.247, 5.247 Å; angles 60.00, 60.00, 60.00 degrees
Sites, in units of the cell vectors:
Tm (0.250, 0.250, 0.250)
Ru (0.625, 0.625, 0.625)
Ru (0.625, 0.124, 0.625)
Ru (0.625, 0.625, 0.124)
Ru (0.124, 0.625, 0.625)
Sc (0.000, 0.000, 0.000)

## Properties
DOS at the Fermi energy: 1.094 states/eV per atom
Space group: No. 216
Formation enthalpy at 0 K: -0.345 eV/atom


Below is a relaxed Mg3ScSn crystal, with properties calculated at the PBE level.

Cell lengths 5.312, 5.312, 5.312 Å; angles 90.00, 90.00, 90.00 degrees
Sites, in units of the cell vectors:
Sc (0.500, 0.500, 0.500)
Sn (0.000, 0.000, 0.000)
Mg (0.500, 0.000, 0.000)
Mg (0.000, 0.000, 0.500)
Mg (0.000, 0.500, 0.000)

## Properties
DOS at the Fermi energy: 0.860 states/eV per atom
E above lowest polymorph: 0.00 eV/f.u.
Space group: No. 221
Formation enthalpy at 0 K: 0.487 eV/atom


Below is a relaxed NiSn crystal, with properties calculated at the PBE level.

Cell lengths 16.340, 4.049, 3.218 Å; angles 90.00, 90.00, 90.00 degrees
Sites, in units of the cell vectors:
Ni (0.206, 0.500, 0.000)
Ni (0.294, 0.000, 0.000)
Ni (0.000, 0.000, 0.500)
Ni (0.706, 0.000, 0.000)
Ni (0.794, 0.500, 0.000)
Ni (0.500, 0.500, 0.500)
Sn (0.841, 0.000, 0.500)
Sn (0.341, 0.500, 0.500)
Sn (0.000, 0.500, 0.000)
Sn (0.500, 0.000, 0.000)
Sn (0.159, 0.000, 0.500)
Sn (0.659, 0.500, 0.500)

## Properties
DOS at the Fermi energy: 0.620 states/eV per atom
Space group: No. 65
Formation enthalpy at 0 K: -0.060 eV/atom


Below is a relaxed Sr2LiGa4Si3 crystal, with properties calculated at the PBE level.

Cell lengths 4.469, 4.469, 10.402 Å; angles 90.00, 90.00, 90.00 degrees
Sites, in units of the cell vectors:
Ga (0.000, 0.500, 0.371)
Ga (0.500, 0.500, 0.000)
Ga (0.500, 0.000, 0.629)
Ga (0.000, 0.000, 0.000)
Sr (0.000, 0.500, 0.748)
Sr (0.500, 0.000, 0.252)
Si (0.000, 0.000, 0.500)
Si (0.500, 0.000, 0.871)
Si (0.000, 0.500, 0.129)
Li (0.500, 0.500, 0.500)

## Properties
DOS at the Fermi energy: 0.334 states/eV per atom
Space group: No. 115
Formation energy (no corrections): -0.277 eV/atom


Below is a relaxed Hf6NbTl crystal, with properties calculated at the PBE level.

Cell lengths 4.977, 4.977, 8.540 Å; angles 73.06, 73.06, 60.00 degrees
Sites, in units of the cell vectors:
Hf (0.124, 0.124, 0.629)
Hf (0.253, 0.253, 0.240)
Hf (0.747, 0.747, 0.760)
Hf (0.372, 0.372, 0.885)
Hf (0.876, 0.876, 0.371)
Hf (0.628, 0.628, 0.115)
Tl (0.500, 0.500, 0.500)
Nb (0.000, 0.000, 0.000)

## Properties
DOS at the Fermi energy: 1.718 states/eV per atom
Space group: No. 166
Formation enthalpy at 0 K: 0.161 eV/atom


Below is a relaxed MgZr2CuRu crystal, with properties calculated at the PBE level.

Cell lengths 5.016, 4.169, 5.016 Å; angles 90.00, 90.00, 90.00 degrees
Sites, in units of the cell vectors:
Zr (0.000, 0.000, 0.500)
Zr (0.500, 0.000, 0.000)
Ru (0.500, 0.500, 0.500)
Mg (0.000, 0.000, 0.000)
Cu (0.000, 0.500, 0.000)

## Properties
DOS at the Fermi energy: 0.901 states/eV per atom
E above lowest polymorph: 4.32 eV/f.u.
Space group: No. 123
Formation enthalpy at 0 K: 1.268 eV/atom


Below is a relaxed Ac2LaSmHo crystal, with properties calculated at the PBE level.

Cell lengths 6.836, 8.899, 6.515 Å; angles 90.00, 90.00, 90.00 degrees
Sites, in units of the cell vectors:
Ho (0.000, 0.000, 0.000)
Ho (0.000, 0.000, 0.500)
Ac (0.714, 0.294, 0.750)
Ac (0.286, 0.294, 0.250)
Ac (0.714, 0.706, 0.750)
Ac (0.286, 0.706, 0.250)
La (0.419, 0.000, 0.750)
La (0.581, 0.000, 0.250)
Sm (0.185, 0.500, 0.750)
Sm (0.815, 0.500, 0.250)

## Properties
DOS at the Fermi energy: 1.317 states/eV per atom
Space group: No. 51
Formation enthalpy at 0 K: 0.244 eV/atom


Below is a relaxed BaI2NO crystal, with properties calculated at the PBE level.

Cell lengths 6.807, 6.807, 5.503 Å; angles 90.00, 90.00, 90.00 degrees
Sites, in units of the cell vectors:
O (0.500, 0.500, 0.500)
Ba (0.000, 0.000, 0.000)
N (0.000, 0.000, 0.500)
I (0.500, 0.000, 0.000)
I (0.000, 0.500, 0.000)

## Properties
DOS at the Fermi energy: 1.730 states/eV per atom
E above lowest polymorph: 2.82 eV/f.u.
Space group: No. 123
Formation energy (no corrections): 0.717 eV/atom


Below is a relaxed Dy3HoCd3 crystal, with properties calculated at the PBE level.

Cell lengths 7.544, 7.544, 6.929 Å; angles 90.00, 90.00, 89.73 degrees
Sites, in units of the cell vectors:
Cd (0.000, 0.000, 0.749)
Cd (0.500, 0.000, 0.249)
Cd (0.500, 0.000, 0.751)
Cd (0.000, 0.500, 0.249)
Cd (0.000, 0.000, 0.251)
Cd (0.000, 0.500, 0.751)
Dy (0.709, 0.709, 0.500)
Dy (0.240, 0.760, 0.500)
Dy (0.291, 0.291, 0.500)
Dy (0.760, 0.240, 0.500)
Dy (0.706, 0.294, 0.000)
Dy (0.294, 0.706, 0.000)
Ho (0.763, 0.763, 0.000)
Ho (0.237, 0.237, 0.000)

## Properties
DOS at the Fermi energy: 1.081 states/eV per atom
Space group: No. 65
Formation enthalpy at 0 K: -0.135 eV/atom


Below is a relaxed In2CuPt2 crystal, with properties calculated at the PBE level.

Cell lengths 4.125, 4.125, 6.725 Å; angles 72.14, 72.14, 90.00 degrees
Sites, in units of the cell vectors:
In (0.250, 0.750, 0.500)
In (0.750, 0.250, 0.500)
Pt (0.395, 0.395, 0.209)
Pt (0.605, 0.605, 0.791)
Cu (0.000, 0.000, 0.000)

## Properties
DOS at the Fermi energy: 0.228 states/eV per atom
E above lowest polymorph: 1.80 eV/f.u.
Space group: No. 139
Formation enthalpy at 0 K: 0.060 eV/atom


Below is a relaxed BP2PtS crystal, with properties calculated at the PBE level.

Cell lengths 4.572, 4.572, 5.145 Å; angles 90.00, 90.00, 90.00 degrees
Sites, in units of the cell vectors:
B (0.500, 0.500, 0.500)
P (0.000, 0.500, 0.000)
P (0.500, 0.000, 0.000)
S (0.000, 0.000, 0.500)
Pt (0.000, 0.000, 0.000)

## Properties
DOS at the Fermi energy: 0.612 states/eV per atom
E above lowest polymorph: 4.02 eV/f.u.
Space group: No. 123
Formation energy (no corrections): 1.553 eV/atom


Below is a relaxed Sr3Ho3CuSe8 crystal, with properties calculated at the PBE level.

Cell lengths 8.306, 8.304, 8.533 Å; angles 119.11, 90.00, 120.01 degrees
Sites, in units of the cell vectors:
Ho (0.500, 0.500, 0.500)
Ho (0.000, 0.500, 0.500)
Ho (0.500, 0.000, 0.500)
Se (0.741, 0.980, 0.719)
Se (0.238, 0.476, 0.718)
Se (0.259, 0.020, 0.281)
Se (0.743, 0.486, 0.729)
Se (0.257, 0.514, 0.271)
Se (0.761, 0.020, 0.281)
Se (0.239, 0.980, 0.719)
Se (0.762, 0.524, 0.282)
Sr (0.000, 0.500, 0.000)
Sr (0.500, 0.500, 0.000)
Sr (0.000, 0.000, 0.000)
Cu (0.000, 0.000, 0.500)

## Properties
DOS at the Fermi energy: 0.343 states/eV per atom
Space group: No. 12
Formation energy (no corrections): -1.656 eV/atom


Below is a relaxed Be3CdW crystal, with properties calculated at the PBE level.

Cell lengths 4.393, 4.393, 4.393 Å; angles 90.00, 90.00, 90.00 degrees
Sites, in units of the cell vectors:
Cd (0.500, 0.500, 0.500)
W (0.000, 0.000, 0.000)
Be (0.500, 0.000, 0.000)
Be (0.000, 0.500, 0.000)
Be (0.000, 0.000, 0.500)

## Properties
DOS at the Fermi energy: 0.465 states/eV per atom
E above lowest polymorph: 0.00 eV/f.u.
Space group: No. 221
Formation enthalpy at 0 K: 1.327 eV/atom


Below is a relaxed TeMo3 crystal, with properties calculated at the PBE level.

Cell lengths 5.369, 5.369, 5.369 Å; angles 143.85, 131.77, 61.74 degrees
Sites, in units of the cell vectors:
Mo (0.251, 0.251, 0.000)
Mo (0.000, 0.500, 0.500)
Mo (0.749, 0.749, 0.000)
Te (0.500, 0.000, 0.500)

## Properties
DOS at the Fermi energy: 0.779 states/eV per atom
E above lowest polymorph: 0.06 eV/f.u.
Space group: No. 71
Formation energy (no corrections): 0.318 eV/atom


Below is a relaxed Y2TcBH crystal, with properties calculated at the PBE level.

Cell lengths 5.096, 3.894, 5.096 Å; angles 90.00, 90.00, 90.00 degrees
Sites, in units of the cell vectors:
Y (0.500, 0.000, 0.000)
Y (0.000, 0.000, 0.500)
Tc (0.000, 0.500, 0.000)
B (0.000, 0.000, 0.000)
H (0.500, 0.500, 0.500)

## Properties
DOS at the Fermi energy: 0.647 states/eV per atom
Space group: No. 123


Below is a relaxed InTc2Rh crystal, with properties calculated at the PBE level.

Cell lengths 4.491, 4.491, 4.491 Å; angles 60.00, 60.00, 60.00 degrees
Sites, in units of the cell vectors:
In (0.500, 0.500, 0.500)
Tc (0.750, 0.750, 0.750)
Tc (0.000, 0.000, 0.000)
Rh (0.250, 0.250, 0.250)

## Properties
DOS at the Fermi energy: 0.306 states/eV per atom
Space group: No. 216
Formation enthalpy at 0 K: 0.181 eV/atom


Below is a relaxed YW4 crystal, with properties calculated at the PBE level.

Cell lengths 7.492, 7.492, 7.492 Å; angles 159.05, 142.80, 43.08 degrees
Sites, in units of the cell vectors:
Y (0.500, 0.500, 0.000)
W (0.891, 0.891, 0.000)
W (0.109, 0.109, 0.000)
W (0.295, 0.295, 0.000)
W (0.705, 0.705, 0.000)

## Properties
DOS at the Fermi energy: 0.605 states/eV per atom
E above lowest polymorph: 1.62 eV/f.u.
Space group: No. 71
Formation enthalpy at 0 K: 0.619 eV/atom


Below is a relaxed Ba2MgCu2 crystal, with properties calculated at the PBE level.

Cell lengths 4.564, 4.564, 10.259 Å; angles 77.15, 77.15, 60.00 degrees
Sites, in units of the cell vectors:
Ba (0.424, 0.424, 0.728)
Ba (0.576, 0.576, 0.272)
Cu (0.682, 0.682, 0.954)
Cu (0.318, 0.318, 0.046)
Mg (0.000, 0.000, 0.000)

## Properties
DOS at the Fermi energy: 0.884 states/eV per atom
Space group: No. 166
Formation enthalpy at 0 K: -0.041 eV/atom


Below is a relaxed Ho3Er2Tm6Pb crystal, with properties calculated at the PBE level.

Cell lengths 6.027, 6.027, 11.535 Å; angles 95.03, 95.03, 120.03 degrees
Sites, in units of the cell vectors:
Ho (0.167, 0.833, 0.500)
Ho (0.833, 0.167, 0.500)
Ho (0.500, 0.500, 0.500)
Tm (0.752, 0.752, 0.250)
Tm (0.588, 0.918, 0.752)
Tm (0.248, 0.248, 0.750)
Tm (0.082, 0.412, 0.248)
Tm (0.412, 0.082, 0.248)
Tm (0.918, 0.588, 0.752)
Er (0.334, 0.666, 0.000)
Er (0.666, 0.334, 0.000)
Pb (0.000, 0.000, 0.000)

## Properties
DOS at the Fermi energy: 1.398 states/eV per atom
Space group: No. 12
Formation enthalpy at 0 K: -0.044 eV/atom


The calculation returns the following VASP energy values, one per record and in order: -60.04; -42.28; -18.61; -95.64; -16.99; -49.98; -12.68; -59.42; -36.43; -70.87; -25.72; -42.44; -14.72; -44.15; -21.35; -19.90; -75.59; -18.41; -34.36; -31.92; -30.10; -55.18; -13.84; -53.93 eV per cell.
The calculation returns the following V values, one per record and in order: 15.062; 16.849; 18.819; 28.745; 33.309; 17.021; 29.973; 17.742; 20.773; 21.568; 20.982; 39.628; 50.992; 28.170; 20.624; 21.503; 28.109; 16.960; 16.845; 20.231; 16.011; 18.146; 35.769; 29.766 Å³ per atom.